Below is an optimized crystal structure of KNpNi2S4, with properties calculated at the PBE level.

a = 6.300 Å, b = 6.082 Å, c = 6.082 Å
α = 62.43°, β = 58.81°, γ = 58.81°
Site moments in Bohr magnetons follow the coordinates.
Positions (direct):
1 K 0.000 0.000 0.000  0.00
2 S 0.514 0.486 0.930  -0.07
3 S 0.930 0.514 0.070  -0.07
4 S 0.070 0.930 0.486  -0.07
5 S 0.486 0.070 0.514  -0.07
6 Ni 0.751 0.749 0.749  -0.06
7 Ni 0.249 0.251 0.251  -0.06
8 Np 0.500 0.500 0.500  3.44

As for the space group: No. 23.

***

Below is an optimized crystal structure of K2Np2NiS6, with properties calculated at the PBE level.

a = 6.649 Å, b = 6.649 Å, c = 7.875 Å
α = 98.02°, β = 98.02°, γ = 120.19°
Site moments in Bohr magnetons follow the coordinates.
Positions (direct):
1 Np 0.666 0.334 0.500  3.27
2 Np 0.334 0.666 0.500  3.27
3 S 0.612 0.936 0.309  -0.06
4 S 0.756 0.756 0.681  -0.04
5 S 0.244 0.244 0.319  -0.04
6 S 0.064 0.388 0.691  -0.06
7 S 0.936 0.612 0.309  -0.06
8 S 0.388 0.064 0.691  -0.06
9 K 0.835 0.165 0.000  0.00
10 K 0.165 0.835 0.000  0.00
11 Ni 0.000 0.000 0.500  1.03

As for the space group: No. 12.

***

Below is an optimized crystal structure of K3NpNi2S6, with properties calculated at the PBE level.

a = 6.406 Å, b = 6.406 Å, c = 7.638 Å
α = 98.11°, β = 98.11°, γ = 119.81°
Site moments in Bohr magnetons follow the coordinates.
Positions (direct):
1 Np 0.000 0.000 0.000  -2.48
2 S 0.589 0.939 0.815  0.18
3 S 0.711 0.711 0.183  0.18
4 S 0.289 0.289 0.817  0.18
5 S 0.061 0.411 0.185  0.18
6 S 0.939 0.589 0.815  0.18
7 S 0.411 0.061 0.185  0.18
8 K 0.500 0.500 0.500  0.01
9 K 0.165 0.835 0.500  0.01
10 K 0.835 0.165 0.500  0.01
11 Ni 0.667 0.333 0.000  1.15
12 Ni 0.333 0.667 0.000  1.15

As for the space group: No. 12.

***

Below is an optimized crystal structure of KNp2NiS5, with properties calculated at the PBE level.

a = 4.338 Å, b = 6.819 Å, c = 7.810 Å
α = 115.89°, β = 106.12°, γ = 90.00°
Site moments in Bohr magnetons follow the coordinates.
Positions (direct):
1 S 0.649 0.389 0.298  -0.13
2 S 0.000 0.000 0.000  -0.12
3 S 0.351 0.611 0.702  -0.13
4 S 0.351 0.092 0.702  -0.13
5 S 0.649 0.908 0.298  -0.13
6 Np 0.803 0.803 0.607  3.42
7 Np 0.197 0.197 0.393  3.42
8 K 0.000 0.500 0.000  0.00
9 Ni 0.500 0.000 0.000  -0.43

As for the space group: No. 71.

***

Below is an optimized crystal structure of K3Np3NiS8, with properties calculated at the PBE level.

a = 7.839 Å, b = 7.833 Å, c = 8.749 Å
α = 116.55°, β = 90.00°, γ = 120.02°
Site moments in Bohr magnetons follow the coordinates.
Positions (direct):
1 S 0.780 0.561 0.315  -0.05
2 S 0.257 0.035 0.314  -0.06
3 S 0.778 0.035 0.314  -0.06
4 S 0.743 0.965 0.686  -0.06
5 S 0.222 0.965 0.686  -0.06
6 S 0.220 0.439 0.685  -0.05
7 S 0.265 0.531 0.297  -0.09
8 S 0.735 0.469 0.703  -0.09
9 Np 0.000 0.500 0.500  3.48
10 Np 0.500 0.500 0.500  3.48
11 Np 0.500 0.000 0.500  3.47
12 Ni 0.000 0.000 0.500  1.01
13 K 0.000 0.000 0.000  0.00
14 K 0.000 0.500 0.000  0.00
15 K 0.500 0.500 0.000  0.00

As for the space group: No. 12.

***

Below is an optimized crystal structure of KNp4Ni3S12, with properties calculated at the PBE level.

a = 8.312 Å, b = 8.312 Å, c = 8.312 Å
α = 109.47°, β = 109.47°, γ = 109.47°
Site moments in Bohr magnetons follow the coordinates.
Positions (direct):
1 Ni 0.500 0.500 0.000  -0.06
2 Ni 0.500 0.000 0.500  -0.06
3 Ni 0.000 0.500 0.500  -0.06
4 S 0.672 0.159 0.830  -0.12
5 S 0.830 0.672 0.159  -0.12
6 S 0.841 0.170 0.328  -0.12
7 S 0.328 0.159 0.487  -0.12
8 S 0.170 0.328 0.841  -0.12
9 S 0.487 0.328 0.159  -0.12
10 S 0.159 0.830 0.672  -0.12
11 S 0.328 0.841 0.170  -0.12
12 S 0.513 0.672 0.841  -0.12
13 S 0.159 0.487 0.328  -0.12
14 S 0.672 0.841 0.513  -0.12
15 S 0.841 0.513 0.672  -0.12
16 Np 0.000 0.500 0.000  3.14
17 Np 0.000 0.000 0.500  3.14
18 Np 0.500 0.000 0.000  3.14
19 Np 0.500 0.500 0.500  3.14
20 K 0.000 0.000 0.000  0.00

As for the space group: No. 204.

***

Below is an optimized crystal structure of KNp2NiS4, with properties calculated at the PBE level.

a = 3.919 Å, b = 7.054 Å, c = 13.443 Å
α = 90.00°, β = 90.00°, γ = 106.13°
Site moments in Bohr magnetons follow the coordinates.
Positions (direct):
1 Np 0.634 0.268 0.439  3.69
2 Np 0.366 0.732 0.561  3.69
3 Np 0.634 0.268 0.061  3.69
4 Np 0.366 0.732 0.939  3.69
5 K 0.897 0.794 0.250  0.00
6 K 0.103 0.206 0.750  0.00
7 Ni 0.168 0.336 0.250  -0.45
8 Ni 0.832 0.664 0.750  -0.45
9 S 0.262 0.523 0.112  -0.10
10 S 0.000 0.000 0.000  -0.11
11 S 0.262 0.523 0.388  -0.10
12 S 0.579 0.157 0.250  -0.11
13 S 0.421 0.843 0.750  -0.11
14 S 0.738 0.477 0.888  -0.10
15 S 0.000 0.000 0.500  -0.11
16 S 0.738 0.477 0.612  -0.10

As for the space group: No. 63.

***

Below is an optimized crystal structure of K2NpNi2S4, with properties calculated at the PBE level.

a = 3.857 Å, b = 7.301 Å, c = 7.555 Å
α = 108.73°, β = 90.00°, γ = 105.32°
Site moments in Bohr magnetons follow the coordinates.
Positions (direct):
1 Np 0.000 0.000 0.000  3.10
2 Ni 0.683 0.366 0.990  -0.57
3 Ni 0.317 0.634 0.010  -0.57
4 S 0.477 0.953 0.228  -0.10
5 S 0.523 0.047 0.772  -0.10
6 S 0.199 0.398 0.162  -0.11
7 S 0.801 0.602 0.838  -0.11
8 K 0.136 0.272 0.562  0.00
9 K 0.864 0.728 0.438  0.00

As for the space group: No. 12.

***

| no. | total magnetization (μB per atom) | total DFT energy (no corrections) (eV/atom) |
| --- | --- | --- |
| 1 | 0.3903 | -5.906 |
| 2 | 0.6825 | -6.402 |
| 3 | 0.1284 | -5.192 |
| 4 | 0.6572 | -7.059 |
| 5 | 0.7577 | -6.546 |
| 6 | 0.5505 | -6.809 |
| 7 | 0.8748 | -7.425 |
| 8 | 0.1641 | -5.823 |